Entry from the Alexandria database: a geometry-optimized Sr2ReMo structure (PBE).

E ... -0.382 Ry/atom
Calculated volume ... 22.30 Å³ per atom
Energy of formation ... 1464 meV per atom
Total magnetic moment ... 0.00 μB per cell
E above lowest polymorph ... 1.008 eV/atom

```
data_Sr2ReMo
_cell_length_a 3.0635
_cell_length_b 3.0635
_cell_length_c 32.9212
_cell_angle_alpha 90.00
_cell_angle_beta 90.00
_cell_angle_gamma 120.00
_space_group_name_H-M_alt 'R -3 m'
_space_group_IT_number 166
_space_group_name_Hall '-R 3 2"'
loop_
_atom_site_label
_atom_site_type_symbol
_atom_site_fract_x
_atom_site_fract_y
_atom_site_fract_z
_atom_site_occupancy
Sr1 Sr 0.0000 0.0000 0.2487 1
Re1 Re 0.0000 0.0000 0.5000 1
Mo1 Mo 0.0000 0.0000 0.0000 1
```